Record 1
Material: Ce5Ir2Os
Method: DFT, PBE-GGA
State: relaxed

Cell: 6.8656 6.8656 13.7282 Å, 90.00 90.00 132.18°
Fractional positions:
Ce (0.0546, 0.9454, 0.6218)
Ce (0.0546, 0.9454, 0.8782)
Ce (0.2599, 0.7401, 0.2500)
Ce (0.3394, 0.6606, 0.5682)
Ce (0.3394, 0.6606, 0.9318)
Ce (0.6606, 0.3394, 0.0682)
Ce (0.6606, 0.3394, 0.4318)
Ce (0.7401, 0.2599, 0.7500)
Ce (0.9454, 0.0546, 0.1218)
Ce (0.9454, 0.0546, 0.3782)
Ir (0.1537, 0.8463, 0.0601)
Ir (0.1537, 0.8463, 0.4399)
Ir (0.8463, 0.1537, 0.5601)
Ir (0.8463, 0.1537, 0.9399)
Os (0.2158, 0.7842, 0.7500)
Os (0.7842, 0.2158, 0.2500)

Results
Energy in eV per atom: -7.641
E_form in meV per atom: -314
Spin magnetization in Bohr magnetons per cell: 6.87


Record 2
Material: Ce8Ir2Os
Method: DFT, PBE-GGA
State: relaxed

Cell: 9.2215 9.2215 6.7606 Å, 109.43 109.43 29.23°
Fractional positions:
Ce (0.0055, 0.0055, 0.2584)
Ce (0.1992, 0.1992, 0.8088)
Ce (0.3301, 0.3301, 0.4771)
Ce (0.4097, 0.4097, 0.0124)
Ce (0.5903, 0.5903, 0.9876)
Ce (0.6699, 0.6699, 0.5229)
Ce (0.8008, 0.8008, 0.1912)
Ce (0.9945, 0.9945, 0.7416)
Ir (0.1633, 0.1633, 0.2427)
Ir (0.8367, 0.8367, 0.7573)
Os (0.5000, 0.5000, 0.5000)

Results
Energy in eV per atom: -7.278
E_form in meV per atom: -330
Spin magnetization in Bohr magnetons per cell: 1.23
Energy above the lowest structure with this stoichiometry in eV/atom: 0.0000


Record 3
Material: Ce8Ir6Os
Method: DFT, PBE-GGA
State: relaxed

Cell: 9.4947 9.4947 4.4032 Å, 90.00 90.00 120.00°
Fractional positions:
Ce (0.0427, 0.7464, 0.2523)
Ce (0.2536, 0.2963, 0.2523)
Ce (0.2963, 0.0427, 0.7477)
Ce (0.3333, 0.6667, 0.7513)
Ce (0.6667, 0.3333, 0.2487)
Ce (0.7037, 0.9573, 0.2523)
Ce (0.7464, 0.7037, 0.7477)
Ce (0.9573, 0.2536, 0.7477)
Ir (0.0923, 0.4726, 0.2478)
Ir (0.3804, 0.9077, 0.2478)
Ir (0.4726, 0.3804, 0.7522)
Ir (0.5274, 0.6196, 0.2478)
Ir (0.6196, 0.0923, 0.7522)
Ir (0.9077, 0.5274, 0.7522)
Os (0.0000, 0.0000, 0.0000)

Results
Energy in eV per atom: -7.983
E_form in meV per atom: -525
Spin magnetization in Bohr magnetons per cell: 0.85


Record 4
Material: Ce4IrOs
Method: DFT, PBE-GGA
State: relaxed

Cell: 7.3422 7.3422 6.0042 Å, 97.74 97.74 111.75°
Fractional positions:
Ce (0.0683, 0.6998, 0.9601)
Ce (0.2278, 0.3911, 0.5802)
Ce (0.3002, 0.9317, 0.5399)
Ce (0.3911, 0.2278, 0.0802)
Ce (0.6089, 0.7722, 0.9198)
Ce (0.6998, 0.0683, 0.4601)
Ce (0.7722, 0.6089, 0.4198)
Ce (0.9317, 0.3002, 0.0399)
Ir (0.3804, 0.6196, 0.2500)
Ir (0.6196, 0.3804, 0.7500)
Os (0.0023, 0.9977, 0.2500)
Os (0.9977, 0.0023, 0.7500)

Results
Energy in eV per atom: -7.672
E_form in meV per atom: -368
Spin magnetization in Bohr magnetons per cell: 1.29
Energy above the lowest structure with this stoichiometry in eV/atom: 0.0000


Record 5
Material: Ce8IrOs5
Method: DFT, PBE-GGA
State: relaxed

Cell: 7.4787 7.4787 7.4787 Å, 109.31 109.31 109.79°
Fractional positions:
Ce (0.0092, 0.8782, 0.2523)
Ce (0.1218, 0.3741, 0.1310)
Ce (0.1217, 0.3755, 0.6297)
Ce (0.2432, 0.9908, 0.8690)
Ce (0.5080, 0.8783, 0.2538)
Ce (0.6245, 0.2542, 0.7462)
Ce (0.6259, 0.7568, 0.7477)
Ce (0.7458, 0.4920, 0.3703)
Ir (0.5000, 0.5000, 0.0000)
Os (0.0008, 0.6229, 0.8788)
Os (0.2500, 0.7500, 0.5000)
Os (0.3771, 0.2559, 0.3780)
Os (0.7441, 0.1220, 0.1212)
Os (0.8780, 0.9992, 0.6220)

Results
Energy in eV per atom: -8.277
E_form in meV per atom: -243
Spin magnetization in Bohr magnetons per cell: 0.00


Record 6
Material: Ce2P4Ir3Os
Method: DFT, PBE-GGA
State: relaxed

Cell: 4.1786 4.1786 9.4832 Å, 90.00 90.00 90.00°
Fractional positions:
Ce (0.0000, 0.5000, 0.2431)
Ce (0.5000, 0.0000, 0.7569)
P (0.0000, 0.0000, 0.0000)
P (0.0000, 0.5000, 0.6345)
P (0.5000, 0.0000, 0.3655)
P (0.5000, 0.5000, 0.0000)
Ir (0.0000, 0.5000, 0.8858)
Ir (0.5000, 0.0000, 0.1142)
Ir (0.5000, 0.5000, 0.5000)
Os (0.0000, 0.0000, 0.5000)

Results
Energy in eV per atom: -8.135
E_form in meV per atom: -1003
Spin magnetization in Bohr magnetons per cell: 0.00


Record 7
Material: CePaIrOs
Method: DFT, PBE-GGA
State: relaxed

Cell: 4.8963 4.8963 4.8963 Å, 60.00 60.00 60.00°
Fractional positions:
Ce (0.0000, 0.0000, 0.0000)
Pa (0.5000, 0.5000, 0.5000)
Ir (0.2500, 0.2500, 0.2500)
Os (0.7500, 0.7500, 0.7500)

Results
Energy in eV per atom: -9.254
E_form in meV per atom: -374
Spin magnetization in Bohr magnetons per cell: 0.01


Record 8
Material: CePmIrOs
Method: DFT, PBE-GGA
State: relaxed

Cell: 4.9453 4.9453 4.9453 Å, 60.00 60.00 60.00°
Fractional positions:
Ce (0.0000, 0.0000, 0.0000)
Pm (0.5000, 0.5000, 0.5000)
Ir (0.7500, 0.7500, 0.7500)
Os (0.2500, 0.2500, 0.2500)

Results
Energy in eV per atom: -7.984
E_form in meV per atom: -290
Spin magnetization in Bohr magnetons per cell: 0.01